1.
A plane-wave DFT calculation with PBE was carried out for crystalline CsLi2CN2 at its relaxed geometry.

Summary:
Its formation energy without anion corrections is -34.0 kJ per mole of atoms. For the theoretical density, the calculation gives 2.3 g cm⁻³. The raw total energy comes out at -5.445 eV/atom.

a = 7.802 Å, b = 7.802 Å, c = 7.802 Å
α = 154.44°, β = 138.59°, γ = 49.30°
Fractional coordinates of all 6 atoms:
Cs (0.000, 0.000, 0.000)
Li (0.335, 0.835, 0.500)
Li (0.665, 0.165, 0.500)
C (0.500, 0.500, 0.000)
N (0.412, 0.412, 0.000)
N (0.588, 0.588, 0.000)

---

2.
A plane-wave DFT calculation with PBE was carried out for crystalline PmInAu4 at its relaxed geometry.

Summary:
The value obtained for the excess energy over the best structure of this formula in the dataset is 22 meV/atom. For the theoretical density, the calculation gives 13.6 g cm⁻³. The raw total energy comes out at -3.886 eV/atom.

a = 5.651 Å, b = 5.651 Å, c = 5.651 Å
α = 60.00°, β = 60.00°, γ = 60.00°
Fractional coordinates of all 6 atoms:
Pm (0.000, 0.000, 0.000)
In (0.750, 0.750, 0.750)
Au (0.375, 0.375, 0.375)
Au (0.375, 0.375, 0.875)
Au (0.375, 0.875, 0.375)
Au (0.875, 0.375, 0.375)

---

3.
A plane-wave DFT calculation with PBE was carried out for crystalline HoBeCu at its relaxed geometry.

Summary:
The value obtained for the excess energy over the best structure of this formula in the dataset is 171 meV/atom. For the theoretical density, the calculation gives 8.1 g cm⁻³. The raw total energy comes out at -4.096 eV/atom.

a = 5.522 Å, b = 5.522 Å, c = 5.522 Å
α = 147.37°, β = 147.37°, γ = 46.82°
Fractional coordinates of all 3 atoms:
Ho (0.000, 0.000, 0.000)
Be (0.703, 0.703, 0.000)
Cu (0.294, 0.294, 0.000)

---

4.
A plane-wave DFT calculation with PBE was carried out for crystalline Sm8Dy3Mg2 at its relaxed geometry.

Summary:
For the theoretical density, the calculation gives 6.8 g cm⁻³. The raw total energy comes out at -4.148 eV/atom.

a = 8.034 Å, b = 5.243 Å, c = 10.375 Å
α = 90.00°, β = 104.49°, γ = 90.00°
Fractional coordinates of all 13 atoms:
Sm (0.045, 0.000, 0.341)
Sm (0.137, 0.500, 0.890)
Sm (0.334, 0.500, 0.262)
Sm (0.397, 0.000, 0.819)
Sm (0.603, 0.000, 0.181)
Sm (0.666, 0.500, 0.738)
Sm (0.863, 0.500, 0.110)
Sm (0.955, 0.000, 0.659)
Dy (0.224, 0.500, 0.574)
Dy (0.500, 0.000, 0.500)
Dy (0.776, 0.500, 0.426)
Mg (0.179, 0.000, 0.072)
Mg (0.821, 0.000, 0.928)

---

5.
A plane-wave DFT calculation with PBE was carried out for crystalline Tl2ZnSnS4 at its relaxed geometry.

Summary:
Its formation energy without anion corrections is -45.4 kJ per mole of atoms. For the theoretical density, the calculation gives 5.4 g cm⁻³. The raw total energy comes out at -3.786 eV/atom.

a = 6.659 Å, b = 6.659 Å, c = 6.659 Å
α = 114.79°, β = 114.79°, γ = 99.29°
Fractional coordinates of all 8 atoms:
Tl (0.000, 0.000, 0.000)
Tl (0.750, 0.250, 0.500)
Zn (0.500, 0.500, 0.000)
Sn (0.250, 0.750, 0.500)
S (0.228, 0.643, 0.092)
S (0.357, 0.449, 0.585)
S (0.551, 0.136, 0.908)
S (0.864, 0.772, 0.415)

---

6.
A plane-wave DFT calculation with PBE was carried out for crystalline Nd2S2O at its relaxed geometry.

Summary:
Its formation energy without anion corrections is -244.6 kJ per mole of atoms. For the theoretical density, the calculation gives 5.6 g cm⁻³. The raw total energy comes out at -7.085 eV/atom.

a = 7.877 Å, b = 7.877 Å, c = 7.229 Å
α = 90.00°, β = 90.00°, γ = 150.62°
Fractional coordinates of all 10 atoms:
Nd (0.053, 0.947, 0.500)
Nd (0.335, 0.665, 0.400)
Nd (0.665, 0.335, 0.900)
Nd (0.947, 0.053, 0.000)
S (0.299, 0.701, 0.017)
S (0.455, 0.545, 0.696)
S (0.545, 0.455, 0.196)
S (0.701, 0.299, 0.517)
O (0.094, 0.906, 0.834)
O (0.906, 0.094, 0.334)

---

7.
A plane-wave DFT calculation with PBE was carried out for crystalline LiNiBr at its relaxed geometry.

Summary:
Its formation energy without anion corrections is -38.2 kJ per mole of atoms. The value obtained for the excess energy over the best structure of this formula in the dataset is 57 meV/atom. For the theoretical density, the calculation gives 4.0 g cm⁻³. The raw total energy comes out at -3.519 eV/atom.

a = 3.431 Å, b = 4.716 Å, c = 8.043 Å
α = 88.34°, β = 89.47°, γ = 68.69°
Fractional coordinates of all 6 atoms:
Li (0.000, 0.000, 0.000)
Li (0.400, 0.212, 0.727)
Ni (0.279, 0.440, 0.036)
Ni (0.701, 0.604, 0.849)
Br (0.112, 0.792, 0.646)
Br (0.813, 0.364, 0.236)

---

8.
A plane-wave DFT calculation with PBE was carried out for crystalline HfTc2Se at its relaxed geometry.

Summary:
Its formation energy without anion corrections is 29.0 kJ per mole of atoms. For the theoretical density, the calculation gives 10.4 g cm⁻³. The raw total energy comes out at -8.242 eV/atom.

a = 5.865 Å, b = 5.865 Å, c = 5.865 Å
α = 101.83°, β = 101.83°, γ = 126.15°
Fractional coordinates of all 8 atoms:
Hf (0.000, 0.000, 0.000)
Hf (0.750, 0.250, 0.500)
Tc (0.199, 0.625, 0.074)
Tc (0.375, 0.449, 0.574)
Tc (0.551, 0.125, 0.926)
Tc (0.875, 0.801, 0.426)
Se (0.250, 0.750, 0.500)
Se (0.500, 0.500, 0.000)

---

9.
A plane-wave DFT calculation with PBE was carried out for crystalline AcCe2DyN4 at its relaxed geometry.

Summary:
Its formation energy without anion corrections is -133.8 kJ per mole of atoms. For the theoretical density, the calculation gives 8.9 g cm⁻³. The raw total energy comes out at -8.121 eV/atom.

a = 6.266 Å, b = 3.619 Å, c = 6.326 Å
α = 90.00°, β = 109.46°, γ = 90.00°
Fractional coordinates of all 8 atoms:
Ac (0.000, 0.000, 0.000)
Ce (0.500, 0.000, 0.500)
Ce (0.500, 0.500, 0.000)
Dy (0.000, 0.500, 0.500)
N (0.259, 0.000, 0.739)
N (0.272, 0.500, 0.275)
N (0.728, 0.500, 0.725)
N (0.741, 0.000, 0.261)

---

10.
A plane-wave DFT calculation with PBE was carried out for crystalline AuCl2 at its relaxed geometry.

Summary:
Its formation energy without anion corrections is -12.4 kJ per mole of atoms. For the theoretical density, the calculation gives 6.0 g cm⁻³. The raw total energy comes out at -2.452 eV/atom.

a = 5.931 Å, b = 5.931 Å, c = 4.213 Å
α = 90.00°, β = 90.00°, γ = 90.00°
Fractional coordinates of all 6 atoms:
Au (0.000, 0.000, 0.000)
Au (0.500, 0.500, 0.500)
Cl (0.215, 0.215, 0.500)
Cl (0.285, 0.715, 0.000)
Cl (0.715, 0.285, 0.000)
Cl (0.785, 0.785, 0.500)

---

11.
A plane-wave DFT calculation with PBE was carried out for crystalline ThPa2Pt at its relaxed geometry.

Summary:
For the theoretical density, the calculation gives 14.4 g cm⁻³. The raw total energy comes out at -8.039 eV/atom.

a = 6.674 Å, b = 6.674 Å, c = 6.674 Å
α = 38.25°, β = 38.25°, γ = 38.25°
Fractional coordinates of all 4 atoms:
Th (0.000, 0.000, 0.000)
Pa (0.242, 0.242, 0.242)
Pa (0.758, 0.758, 0.758)
Pt (0.500, 0.500, 0.500)

---

12.
A plane-wave DFT calculation with PBE was carried out for crystalline Ta2Tl2CuTe6 at its relaxed geometry.

Summary:
Its formation energy without anion corrections is -16.5 kJ per mole of atoms. For the theoretical density, the calculation gives 7.7 g cm⁻³. The raw total energy comes out at -4.842 eV/atom.

a = 7.111 Å, b = 7.111 Å, c = 8.638 Å
α = 98.47°, β = 98.47°, γ = 124.20°
Fractional coordinates of all 11 atoms:
Ta (0.188, 0.812, 0.000)
Ta (0.812, 0.188, 0.000)
Tl (0.352, 0.648, 0.500)
Tl (0.648, 0.352, 0.500)
Cu (0.500, 0.500, 0.000)
Te (0.075, 0.411, 0.790)
Te (0.236, 0.236, 0.165)
Te (0.411, 0.075, 0.790)
Te (0.589, 0.925, 0.210)
Te (0.764, 0.764, 0.835)
Te (0.925, 0.589, 0.210)

---

Question: Which value of theoretical density does entry 10 give?
Answer: 6.0 g cm⁻³

---

Question: Number 10 is which compound?
Answer: AuCl2

---

Question: What is the formula in the sixth record?
Answer: Nd2S2O

---

Question: Look up the theoretical density of the twelfth one.
Answer: 7.7 g cm⁻³